Record 1
{"formula": "TmNbRu", "functional": "GGA-PBE", "state": "relaxed", "dos_ef_per_ev_atom": 0.771, "delta_e_f_ev_per_atom": -0.20, "sg": "I4mm, No. 107", "total_energy_ev_per_atom": -8.140, "cell": [[-1.631, 1.631, 5.393], [1.631, -1.631, 5.393], [1.631, 1.631, -5.393]], "species": ["Tm", "Nb", "Ru"], "fractional_positions": [[0.000, 0.000, 0.000], [0.305, 0.305, 0.000], [0.675, 0.675, 0.000]]}

Record 2
{"formula": "Ba3YSn", "functional": "GGA-PBE", "state": "relaxed", "dos_ef_per_ev_atom": 1.947, "delta_e_f_ev_per_atom": 0.60, "sg": "Pm-3m, No. 221", "total_energy_ev_per_atom": -2.647, "cell": [[6.357, 0.000, 0.000], [0.000, 6.357, 0.000], [0.000, 0.000, 6.357]], "species": ["Ba", "Ba", "Ba", "Y", "Sn"], "fractional_positions": [[0.000, 0.000, 0.500], [0.000, 0.500, 0.000], [0.500, 0.000, 0.000], [0.000, 0.000, 0.000], [0.500, 0.500, 0.500]]}

Record 3
{"formula": "AcPrNdTe3", "functional": "GGA-PBE", "state": "relaxed", "dos_ef_per_ev_atom": 0.607, "e_form_raw_mev_per_atom": -1330, "sg": "P2_1/m, No. 11", "total_energy_ev_per_atom": -5.177, "cell": [[8.934, 0.000, 0.000], [0.000, 4.503, 0.000], [-3.288, 0.000, 10.748]], "species": ["Ac", "Ac", "Pr", "Pr", "Nd", "Nd", "Te", "Te", "Te", "Te", "Te", "Te"], "fractional_positions": [[0.190, 0.250, 0.219], [0.810, 0.750, 0.781], [0.151, 0.250, 0.621], [0.849, 0.750, 0.379], [0.344, 0.750, 0.900], [0.656, 0.250, 0.100], [0.094, 0.250, 0.896], [0.230, 0.750, 0.450], [0.473, 0.750, 0.201], [0.527, 0.250, 0.799], [0.770, 0.250, 0.550], [0.906, 0.750, 0.104]]}

Record 4
{"formula": "Ta2NbVCu", "functional": "GGA-PBE", "state": "relaxed", "dos_ef_per_ev_atom": 0.866, "delta_e_f_ev_per_atom": 1.15, "sg": "P4/mmm, No. 123", "total_energy_ev_per_atom": -8.251, "cell": [[4.588, 0.000, 0.000], [0.000, 4.588, 0.000], [0.000, 0.000, 4.449]], "species": ["Ta", "Ta", "Nb", "V", "Cu"], "fractional_positions": [[0.000, 0.500, 0.000], [0.500, 0.000, 0.000], [0.000, 0.000, 0.500], [0.500, 0.500, 0.000], [0.500, 0.500, 0.500]]}

Record 5
{"formula": "PdF", "functional": "GGA-PBE", "state": "relaxed", "dos_ef_per_ev_atom": 2.067, "e_form_raw_mev_per_atom": -438, "sg": "Immm, No. 71", "total_energy_ev_per_atom": -3.970, "cell": [[-1.340, 2.037, 2.917], [1.340, -2.037, 2.917], [1.340, 2.037, -2.917]], "species": ["Pd", "F"], "fractional_positions": [[0.000, 0.000, 0.000], [0.500, 0.000, 0.500]]}

Record 6
{"formula": "TlCd2W", "functional": "GGA-PBE", "state": "relaxed", "dos_ef_per_ev_atom": 0.725, "delta_e_f_ev_per_atom": 0.72, "sg": "P2/m, No. 10", "total_energy_ev_per_atom": -3.564, "cell": [[2.999, 0.000, 0.000], [0.000, 4.584, 0.000], [-0.070, 0.000, 6.067]], "species": ["Tl", "Cd", "Cd", "W"], "fractional_positions": [[0.000, 0.000, 0.000], [0.499, 0.500, 0.275], [0.501, 0.500, 0.725], [0.000, 0.000, 0.500]]}

Record 7
{"formula": "Sm2Al3Cu5", "functional": "GGA-PBE", "state": "relaxed", "dos_ef_per_ev_atom": 0.608, "delta_e_f_ev_per_atom": -0.25, "sg": "P-4m2, No. 115", "total_energy_ev_per_atom": -4.360, "cell": [[4.156, 0.000, 0.000], [0.000, 4.156, 0.000], [0.000, 0.000, 10.321]], "species": ["Sm", "Sm", "Al", "Al", "Al", "Cu", "Cu", "Cu", "Cu", "Cu"], "fractional_positions": [[0.000, 0.500, 0.235], [0.500, 0.000, 0.765], [0.000, 0.500, 0.645], [0.500, 0.000, 0.355], [0.500, 0.500, 0.500], [0.000, 0.000, 0.000], [0.000, 0.000, 0.500], [0.000, 0.500, 0.877], [0.500, 0.000, 0.123], [0.500, 0.500, 0.000]]}

Record 8
{"formula": "NpBSe2", "functional": "GGA-PBE", "state": "relaxed", "dos_ef_per_ev_atom": 0.797, "e_form_raw_mev_per_atom": 424, "sg": "R-3m, No. 166", "total_energy_ev_per_atom": -6.223, "cell": [[1.607, 0.928, 8.398], [-1.607, 0.928, 8.398], [0.000, -1.855, 8.398]], "species": ["Np", "B", "Se", "Se"], "fractional_positions": [[0.000, 0.000, 0.000], [0.500, 0.500, 0.500], [0.115, 0.115, 0.115], [0.885, 0.885, 0.885]]}

Record 9
{"formula": "ScAu", "functional": "GGA-PBE", "state": "relaxed", "dos_ef_per_ev_atom": 0.722, "delta_e_f_ev_per_atom": 0.08, "sg": "Pm-3n, No. 223", "total_energy_ev_per_atom": -4.726, "cell": [[7.589, 0.000, 0.000], [0.000, 7.589, 0.000], [0.000, 0.000, 7.589]], "species": ["Sc", "Sc", "Sc", "Sc", "Sc", "Sc", "Au", "Au", "Au", "Au", "Au", "Au"], "fractional_positions": [[0.000, 0.250, 0.500], [0.000, 0.750, 0.500], [0.250, 0.500, 0.000], [0.500, 0.000, 0.250], [0.500, 0.000, 0.750], [0.750, 0.500, 0.000], [0.000, 0.500, 0.250], [0.000, 0.500, 0.750], [0.250, 0.000, 0.500], [0.500, 0.250, 0.000], [0.500, 0.750, 0.000], [0.750, 0.000, 0.500]]}

Record 10
{"formula": "TiNb6Re", "functional": "GGA-PBE", "state": "relaxed", "dos_ef_per_ev_atom": 1.183, "delta_e_f_ev_per_atom": 0.11, "sg": "R-3m, No. 166", "total_energy_ev_per_atom": -9.984, "cell": [[4.784, 2.762, 1.815], [-4.784, 2.762, 1.815], [0.000, -5.525, 1.815]], "species": ["Ti", "Nb", "Nb", "Nb", "Nb", "Nb", "Nb", "Re"], "fractional_positions": [[0.000, 0.000, 0.000], [0.251, 0.251, 0.745], [0.251, 0.745, 0.251], [0.255, 0.749, 0.749], [0.745, 0.251, 0.251], [0.749, 0.255, 0.749], [0.749, 0.749, 0.255], [0.500, 0.500, 0.500]]}

Record 11
{"formula": "TlRhI2N", "functional": "GGA-PBE", "state": "relaxed", "dos_ef_per_ev_atom": 1.469, "e_form_raw_mev_per_atom": 1412, "sg": "P4/mmm, No. 123", "total_energy_ev_per_atom": -2.816, "cell": [[6.112, 0.000, 0.000], [0.000, 6.112, 0.000], [0.000, 0.000, 4.189]], "species": ["Tl", "Rh", "I", "I", "N"], "fractional_positions": [[0.000, 0.000, 0.000], [0.500, 0.500, 0.500], [0.000, 0.500, 0.000], [0.500, 0.000, 0.000], [0.000, 0.000, 0.500]]}

Record 12
{"formula": "KCaTl4", "functional": "GGA-PBE", "state": "relaxed", "dos_ef_per_ev_atom": 0.439, "delta_e_f_ev_per_atom": -0.20, "sg": "P4/mmm, No. 123", "total_energy_ev_per_atom": -2.293, "cell": [[3.991, 0.000, 0.000], [0.000, 3.991, 0.000], [0.000, 0.000, 12.281]], "species": ["K", "Ca", "Tl", "Tl", "Tl", "Tl"], "fractional_positions": [[0.000, 0.000, 0.000], [0.500, 0.500, 0.500], [0.000, 0.000, 0.345], [0.000, 0.000, 0.655], [0.500, 0.500, 0.201], [0.500, 0.500, 0.799]]}